Run A
The following is a PBE-GGA calculation of a relaxed Hf3PS crystal, from Alexandria.

The space-group type is No. 15. As for the crystal system: monoclinic.

Lattice parameters (Å, degrees): 6.1355 8.1212 8.1212 81.50 81.52 81.52
Last column: nearest neighbours and their distance in Å.
Element x y z (fractional)
P  0.8394  0.3392  0.1664  6 Hf 2.55-2.63
P  0.6606  0.8336  0.6608  6 Hf 2.55-2.63
P  0.3394  0.1664  0.3392  6 Hf 2.55-2.63
P  0.1606  0.6608  0.8336  6 Hf 2.55-2.63
S  0.7500  0.9254  0.0746  6 Hf 2.55-2.61
S  0.7500  0.2540  0.7460  6 Hf 2.48-2.50
S  0.2500  0.0746  0.9254  6 Hf 2.55-2.61
S  0.2500  0.7460  0.2540  6 Hf 2.48-2.50
Hf  0.5360  0.5342  0.6773  1 S 2.48, 2 P 2.61-2.63
Hf  0.4583  0.7788  0.9655  3 S 2.50-2.61, 2 P 2.61
Hf  0.5428  0.8593  0.3682  2 S 2.48-2.55, 2 P 2.55-2.61
Hf  0.0428  0.3682  0.8593  2 S 2.48-2.55, 2 P 2.55-2.61
Hf  0.9572  0.6318  0.1407  2 S 2.48-2.55, 2 P 2.55-2.61
Hf  0.9583  0.9655  0.7788  3 S 2.50-2.61, 2 P 2.61
Hf  0.4640  0.4658  0.3227  1 S 2.48, 2 P 2.61-2.63
Hf  0.0360  0.6773  0.5342  1 S 2.48, 2 P 2.61-2.63
Hf  0.5417  0.2212  0.0345  3 S 2.50-2.61, 2 P 2.61
Hf  0.0417  0.0345  0.2212  3 S 2.50-2.61, 2 P 2.61
Hf  0.4572  0.1407  0.6318  2 S 2.48-2.55, 2 P 2.55-2.61
Hf  0.9640  0.3227  0.4658  1 S 2.48, 2 P 2.61-2.63

Run B
The following is a PBE-GGA calculation of a relaxed Hf3PS crystal, from Alexandria.

The space-group type is No. 221. As for the crystal system: cubic.

Lattice parameters (Å, degrees): 4.7002 4.7002 4.7002 90.00 90.00 90.00
Last column: nearest neighbours and their distance in Å.
Element x y z (fractional)
P  0.5000  0.5000  0.5000  12 Hf 3.32
Hf  0.0000  0.5000  0.0000  2 S 2.35
Hf  0.0000  0.0000  0.5000  2 S 2.35
Hf  0.5000  0.0000  0.0000  2 S 2.35
S  0.0000  0.0000  0.0000  6 Hf 2.35

The least stable of them is run B.

Run A
The following is a PBE-GGA calculation of a relaxed Hf4P3S crystal, from Alexandria.

The space-group type is No. 166. As for the crystal system: trigonal.

Lattice parameters (Å, degrees): 3.6953 3.6953 12.3277 81.38 81.38 60.00
Last column: nearest neighbours and their distance in Å.
Element x y z (fractional)
S  0.0000  0.0000  0.0000  6 Hf 2.71
Hf  0.1230  0.1230  0.6310  6 P 2.57-2.66
Hf  0.3793  0.3793  0.8622  3 P 2.54, 3 S 2.71
Hf  0.6207  0.6207  0.1378  3 P 2.54, 3 S 2.71
Hf  0.8770  0.8770  0.3690  6 P 2.57-2.66
P  0.7503  0.7503  0.7491  6 Hf 2.54-2.57
P  0.5000  0.5000  0.5000  6 Hf 2.66
P  0.2497  0.2497  0.2509  6 Hf 2.54-2.57

Run B
The following is a PBE-GGA calculation of a relaxed Hf4P3S crystal, from Alexandria.

The space-group type is No. 59. As for the crystal system: orthorhombic.

Lattice parameters (Å, degrees): 5.1242 7.6308 8.8023 90.00 90.00 90.00
Last column: nearest neighbours and their distance in Å.
Element x y z (fractional)
S  0.0645  0.1604  0.0000  5 Hf 2.52-2.56
S  0.5645  0.8396  0.5000  5 Hf 2.52-2.56
Hf  0.0643  0.8297  0.0000  1 S 2.52, 4 P 2.56
Hf  0.5645  0.1595  0.0000  3 P 2.54-2.55, 2 S 2.56
Hf  0.0645  0.8405  0.5000  3 P 2.54-2.55, 2 S 2.56
Hf  0.5643  0.1703  0.5000  1 S 2.52, 4 P 2.56
Hf  0.5644  0.6676  0.2537  1 S 2.53, 4 P 2.53-2.56
Hf  0.0644  0.3324  0.2463  1 S 2.53, 4 P 2.53-2.56
Hf  0.5644  0.6676  0.7463  1 S 2.53, 4 P 2.53-2.56
Hf  0.0644  0.3324  0.7537  1 S 2.53, 4 P 2.53-2.56
P  0.0644  0.1753  0.5000  5 Hf 2.53-2.56
P  0.0644  0.6661  0.2536  5 Hf 2.54-2.56
P  0.0644  0.6661  0.7464  5 Hf 2.54-2.56
P  0.5644  0.3339  0.7536  5 Hf 2.54-2.56
P  0.5644  0.8247  0.0000  5 Hf 2.53-2.56
P  0.5644  0.3339  0.2464  5 Hf 2.54-2.56

The least stable of them is run B.

Run A
The following is a PBE-GGA calculation of a relaxed HfScPS2 crystal, from Alexandria.

The space-group type is No. 123. As for the crystal system: tetragonal.

Lattice parameters (Å, degrees): 4.6920 4.6920 4.9716 90.00 90.00 90.00
Last column: nearest neighbours and their distance in Å.
Element x y z (fractional)
S  0.0000  0.5000  0.0000  2 Sc 2.35
S  0.5000  0.0000  0.0000  2 Sc 2.35
Hf  0.5000  0.5000  0.5000  4 P 3.32, 8 S 3.42
Sc  0.0000  0.0000  0.0000  4 S 2.35, 2 P 2.49
P  0.0000  0.0000  0.5000  2 Sc 2.49

Run B
The following is a PBE-GGA calculation of a relaxed HfScPS2 crystal, from Alexandria.

The space-group type is No. 123. As for the crystal system: tetragonal.

Lattice parameters (Å, degrees): 4.8103 5.0712 4.8103 90.00 90.00 90.00
Last column: nearest neighbours and their distance in Å.
Element x y z (fractional)
Sc  0.5000  0.5000  0.5000  4 P 3.40, 8 S 3.49
S  0.5000  0.0000  0.0000  2 Hf 2.41
S  0.0000  0.0000  0.5000  2 Hf 2.41
Hf  0.0000  0.0000  0.0000  4 S 2.41, 2 P 2.54
P  0.0000  0.5000  0.0000  2 Hf 2.54

The least stable of them is run A.